First-principles (GGA-PBE) data for crystalline ZnFe4Rh at its relaxed geometry, as listed in Alexandria via LeMat-Bulk.

CIF file:
```
data_ZnFe4Rh
_space_group_name_H-M_alt 'P 1'
_space_group_IT_number 1
_cell_length_a 4.7374
_cell_length_b 4.7374
_cell_length_c 4.7374
_cell_angle_alpha 60.00
_cell_angle_beta 60.00
_cell_angle_gamma 60.00
loop_
_space_group_symop_operation_xyz
'x,y,z'
loop_
_atom_site_label
_atom_site_type_symbol
_atom_site_fract_x
_atom_site_fract_y
_atom_site_fract_z
Zn1 Zn 0.0000 0.0000 0.0000
Fe1 Fe 0.3751 0.3751 0.3751
Fe2 Fe 0.3751 0.3751 0.8746
Fe3 Fe 0.8746 0.3751 0.3751
Fe4 Fe 0.3751 0.8746 0.3751
Rh1 Rh 0.7500 0.7500 0.7500
```

Properties
D(E_F) (states/eV/atom): 0.7443
Total magnetization (μB/cell): 9.3
DFT formation energy (meV/atom): 47